DFT (GGA-PBE) results for a relaxed structure of KZn2Rh.

Unit cell a=7.906 b=7.906 c=7.906 alpha=157.91 beta=149.76 gamma=37.77
Atoms (fractional coordinates):
K (0.000, 0.000, 0.000)
Zn (0.333, 0.333, 0.000)
Zn (0.692, 0.192, 0.500)
Rh (0.199, 0.699, 0.500)

Values from the calculation:
The total DFT energy (no corrections) comes out at -2.77 eV per atom. The calculation puts the energy of formation from the pure elements at -0.021 eV/atom. As for the density of states at the Fermi level: 0.3317 states/eV/atom. Its space-group type is Imm2 (44). As for the energy relative to the lowest polymorph listed for this composition: 8.0 kJ/mol of atoms.

DFT (GGA-PBE) results for a relaxed structure of La3NdIn4.

Unit cell a=3.934 b=3.934 c=15.762 alpha=90.00 beta=90.00 gamma=90.00
Atoms (fractional coordinates):
La (0.000, 0.000, 0.000)
La (0.000, 0.000, 0.253)
La (0.000, 0.000, 0.747)
Nd (0.000, 0.000, 0.500)
In (0.500, 0.500, 0.126)
In (0.500, 0.500, 0.381)
In (0.500, 0.500, 0.619)
In (0.500, 0.500, 0.874)

Values from the calculation:
The total DFT energy (no corrections) comes out at -4.33 eV per atom. The calculation puts the energy of formation from the pure elements at -0.513 eV/atom. As for the density of states at the Fermi level: 0.7061 states/eV/atom. Its space-group type is P4/mmm (123). As for the energy relative to the lowest polymorph listed for this composition: 0.0 kJ/mol of atoms.

DFT (GGA-PBE) results for a relaxed structure of DyHfGe2.

Unit cell a=7.041 b=7.041 c=7.041 alpha=32.48 beta=32.48 gamma=32.48
Atoms (fractional coordinates):
Dy (0.000, 0.000, 0.000)
Hf (0.500, 0.500, 0.500)
Ge (0.243, 0.243, 0.243)
Ge (0.757, 0.757, 0.757)

Values from the calculation:
The total DFT energy (no corrections) comes out at -6.61 eV per atom. The calculation puts the energy of formation from the pure elements at -0.661 eV/atom. As for the density of states at the Fermi level: 0.4892 states/eV/atom. Its space-group type is R-3m (166).

DFT (GGA-PBE) results for a relaxed structure of Tl4Br5.

Unit cell a=11.053 b=11.053 c=11.053 alpha=92.17 beta=92.17 gamma=157.58
Atoms (fractional coordinates):
Tl (0.000, 0.196, 0.196)
Tl (0.000, 0.804, 0.804)
Tl (0.196, 0.000, 0.196)
Tl (0.804, 0.000, 0.804)
Br (0.000, 0.000, 0.000)
Br (0.348, 0.348, 0.695)
Br (0.348, 0.652, 0.000)
Br (0.652, 0.348, 0.000)
Br (0.652, 0.652, 0.305)

Values from the calculation:
The total DFT energy (no corrections) comes out at -2.61 eV per atom. For the uncorrected formation energy, the calculation gives -61.0 kJ per mole of atoms. As for the density of states at the Fermi level: 1.3016 states/eV/atom. Its space-group type is I4/mmm (139). As for the energy relative to the lowest polymorph listed for this composition: 0.0 kJ/mol of atoms.

DFT (GGA-PBE) results for a relaxed structure of CsRbSiS3.

Unit cell a=6.942 b=6.942 c=9.834 alpha=91.62 beta=91.62 gamma=96.53
Atoms (fractional coordinates):
Cs (0.200, 0.200, 0.382)
Cs (0.800, 0.800, 0.618)
Rb (0.263, 0.737, 0.000)
Rb (0.737, 0.263, 0.000)
Si (0.190, 0.190, 0.802)
Si (0.810, 0.810, 0.198)
S (0.015, 0.674, 0.299)
S (0.244, 0.244, 0.006)
S (0.326, 0.985, 0.701)
S (0.674, 0.015, 0.299)
S (0.756, 0.756, 0.994)
S (0.985, 0.326, 0.701)

Values from the calculation:
The total DFT energy (no corrections) comes out at -4.33 eV per atom. For the uncorrected formation energy, the calculation gives -101.9 kJ per mole of atoms. As for the density of states at the Fermi level: 0.0000 states/eV/atom. Its space-group type is C2/m (12).

DFT (GGA-PBE) results for a relaxed structure of BeSeBr2.

Unit cell a=4.921 b=4.921 c=4.921 alpha=60.00 beta=60.00 gamma=60.00
Atoms (fractional coordinates):
Be (0.000, 0.000, 0.000)
Se (0.250, 0.250, 0.250)
Br (0.500, 0.500, 0.500)
Br (0.750, 0.750, 0.750)

Values from the calculation:
The total DFT energy (no corrections) comes out at -1.83 eV per atom. For the uncorrected formation energy, the calculation gives 77.9 kJ per mole of atoms. As for the density of states at the Fermi level: 1.0588 states/eV/atom. Its space-group type is F-43m (216). As for the energy relative to the lowest polymorph listed for this composition: 120.6 kJ/mol of atoms.

DFT (GGA-PBE) results for a relaxed structure of La5Sb.

Unit cell a=6.631 b=6.631 c=8.433 alpha=105.15 beta=105.15 gamma=35.64
Atoms (fractional coordinates):
La (0.000, 0.000, 0.000)
La (0.025, 0.025, 0.624)
La (0.296, 0.296, 0.716)
La (0.351, 0.351, 0.243)
La (0.647, 0.647, 0.340)
Sb (0.696, 0.696, 0.950)

Values from the calculation:
The total DFT energy (no corrections) comes out at -5.14 eV per atom. For the uncorrected formation energy, the calculation gives -33.6 kJ per mole of atoms. As for the density of states at the Fermi level: 1.3206 states/eV/atom. Its space-group type is Cm (8). As for the energy relative to the lowest polymorph listed for this composition: 2.0 kJ/mol of atoms.

DFT (GGA-PBE) results for a relaxed structure of Li2AlBRh.

Unit cell a=4.574 b=4.574 c=4.430 alpha=90.00 beta=90.00 gamma=90.00
Atoms (fractional coordinates):
Li (0.000, 0.500, 0.000)
Li (0.500, 0.000, 0.000)
Al (0.000, 0.000, 0.000)
B (0.500, 0.500, 0.500)
Rh (0.000, 0.000, 0.500)

Values from the calculation:
The total DFT energy (no corrections) comes out at -3.11 eV per atom. The calculation puts the energy of formation from the pure elements at 1.205 eV/atom. As for the density of states at the Fermi level: 0.7355 states/eV/atom. Its space-group type is P4/mmm (123).

DFT (GGA-PBE) results for a relaxed structure of MgAsPdSe2.

Unit cell a=4.943 b=4.943 c=4.934 alpha=90.00 beta=90.00 gamma=90.00
Atoms (fractional coordinates):
Mg (0.000, 0.000, 0.000)
As (0.000, 0.000, 0.500)
Pd (0.500, 0.500, 0.500)
Se (0.000, 0.500, 0.000)
Se (0.500, 0.000, 0.000)

Values from the calculation:
The total DFT energy (no corrections) comes out at -3.13 eV per atom. For the uncorrected formation energy, the calculation gives 53.1 kJ per mole of atoms. As for the density of states at the Fermi level: 0.9211 states/eV/atom. Its space-group type is P4/mmm (123). As for the energy relative to the lowest polymorph listed for this composition: 37.7 kJ/mol of atoms.

DFT (GGA-PBE) results for a relaxed structure of PrLuCoHg.

Unit cell a=5.088 b=5.088 c=5.088 alpha=60.00 beta=60.00 gamma=60.00
Atoms (fractional coordinates):
Pr (0.000, 0.000, 0.000)
Lu (0.500, 0.500, 0.500)
Co (0.750, 0.750, 0.750)
Hg (0.250, 0.250, 0.250)

Values from the calculation:
The total DFT energy (no corrections) comes out at -4.34 eV per atom. The calculation puts the energy of formation from the pure elements at -0.159 eV/atom. As for the density of states at the Fermi level: 0.6612 states/eV/atom. Its space-group type is F-43m (216).

DFT (GGA-PBE) results for a relaxed structure of LuMgNiPt.

Unit cell a=4.611 b=4.611 c=4.611 alpha=60.00 beta=60.00 gamma=60.00
Atoms (fractional coordinates):
Lu (0.000, 0.000, 0.000)
Mg (0.500, 0.500, 0.500)
Ni (0.250, 0.250, 0.250)
Pt (0.750, 0.750, 0.750)

Values from the calculation:
The total DFT energy (no corrections) comes out at -5.22 eV per atom. The calculation puts the energy of formation from the pure elements at -0.739 eV/atom. As for the density of states at the Fermi level: 0.5266 states/eV/atom. Its space-group type is F-43m (216).

DFT (GGA-PBE) results for a relaxed structure of CaGd2Sc.

Unit cell a=3.710 b=3.710 c=9.459 alpha=90.00 beta=90.00 gamma=90.00
Atoms (fractional coordinates):
Ca (0.000, 0.000, 0.000)
Gd (0.500, 0.500, 0.287)
Gd (0.500, 0.500, 0.713)
Sc (0.000, 0.000, 0.500)

Values from the calculation:
The total DFT energy (no corrections) comes out at -9.06 eV per atom. The calculation puts the energy of formation from the pure elements at 0.065 eV/atom. As for the density of states at the Fermi level: 1.4101 states/eV/atom. Its space-group type is P4/mmm (123). As for the energy relative to the lowest polymorph listed for this composition: 0.0 kJ/mol of atoms.